A geometry-optimized SmScIrRh structure, computed with GGA-PBE.

Calculated values
formation energy: -0.80 eV per atom

a = 6.7473 Å, b = 6.7473 Å, c = 6.7473 Å
α = 90.00°, β = 90.00°, γ = 90.00°
With the nearest neighbours (Å) after each atom.
Space group F-43m (No. 216)
Symmetry-distinct sites (fractional):
Sm: 0.0000 0.0000 0.0000  4 Ir 2.92, 4 Rh 2.92
Sc: 0.0000 0.0000 0.5000  4 Rh 2.92, 4 Ir 2.92
Ir: 0.2500 0.2500 0.7500  4 Sc 2.92, 4 Sm 2.92
Rh: 0.2500 0.2500 0.2500  4 Sc 2.92, 4 Sm 2.92



A geometry-optimized TeRu2W structure, computed with GGA-PBE.

Calculated values
DFT total energy: -33.1 eV per formula unit

a = 3.0017 Å, b = 3.0017 Å, c = 25.7663 Å
α = 90.00°, β = 90.00°, γ = 120.00°
With the nearest neighbours (Å) after each atom.
Space group R-3m (No. 166, hexagonal axes)
Symmetry-distinct sites (fractional):
Te: 0.0000 0.0000 0.0000  6 Ru 2.83, 6 Te 3.00
Ru: 0.0000 0.0000 0.2465  3 W 2.69, 3 Te 2.83, 6 Ru 3.00
W: 0.0000 0.0000 0.5000  6 Ru 2.69, 6 W 3.00



A geometry-optimized CePu2Fe9 structure, computed with GGA-PBE.

Calculated values
formation energy: -0.05 eV per atom

a = 4.9793 Å, b = 4.9793 Å, c = 24.8808 Å
α = 90.00°, β = 90.00°, γ = 120.00°
With the nearest neighbours (Å) after each atom.
Space group R-3m (No. 166, hexagonal axes)
Symmetry-distinct sites (fractional):
Ce: 0.0000 0.0000 0.0000  6 Fe 2.87
Pu: 0.0000 0.0000 0.1397  12 Fe 2.87-3.12, 3 Pu 3.17
Fe: 0.0000 0.0000 0.3327  6 Fe 2.49-2.51
Fe: 0.0000 0.0000 0.5000  6 Fe 2.54
Fe: 0.0005 0.5003 0.0824  7 Fe 2.49-2.54



A geometry-optimized LaTbNdEr structure, computed with GGA-PBE.

Calculated values
formation energy: 0.10 eV per atom
ΔE to the lowest computed polymorph: 72 meV/atom

a = 8.1632 Å, b = 8.1632 Å, c = 8.1632 Å
α = 90.00°, β = 90.00°, γ = 90.00°
With the nearest neighbours (Å) after each atom.
Space group F-43m (No. 216)
Symmetry-distinct sites (fractional):
La: 0.0000 0.0000 0.0000  4 Tb 3.53, 4 Er 3.53
Tb: 0.2500 0.2500 0.2500  4 La 3.53, 4 Nd 3.53
Nd: 0.0000 0.0000 0.5000  4 Tb 3.53, 4 Er 3.53
Er: 0.2500 0.2500 0.7500  4 La 3.53, 4 Nd 3.53



no.,magnetization (μB/atom)
1,0.0000
2,0.0001
3,0.6159
4,0.0005